# 1
VASP calculation (GGA-PBE) on an optimized crystal structure of YCuSi.

```
12
Lattice="5.5545 0.0000 0.0000 0.0000 5.7026 0.0000 -2.9407 0.0000 6.9742" Properties=species:S:1:pos:R:3 pbc="T T T"
Y -0.0118 0.7601 2.6542
Y -1.4822 2.0911 6.1413
Y 4.0959 3.6114 0.8329
Y 2.6256 4.9424 4.3200
Cu -0.2981 3.4794 3.6626
Cu 1.1723 5.0744 0.1755
Cu 1.4415 0.6281 6.7988
Cu 2.9119 2.2231 3.3116
Si 1.2975 3.5007 1.9226
Si -0.1729 5.0531 5.4097
Si 2.7867 0.6494 1.5645
Si 1.3163 2.2018 5.0516
```

Uncorrected formation energy: -0.546 eV/atom
Crystal system: monoclinic
Space-group type: No. 14

=====

# 2
VASP calculation (GGA-PBE) on an optimized crystal structure of Y2CuSi.

```
4
Lattice="3.4922 0.0000 0.0000 0.0000 3.5066 0.0000 0.0000 0.0000 7.0131" Properties=species:S:1:pos:R:3 pbc="T T T"
Y 0.0000 0.0000 1.7476
Y 0.0000 0.0000 5.2656
Cu 1.7461 1.7533 0.0000
Si 1.7461 1.7533 3.5066
```

Uncorrected formation energy: -0.400 eV/atom
Crystal system: orthorhombic
Space-group type: No. 47

=====

# 3
VASP calculation (GGA-PBE) on an optimized crystal structure of YCuSi.

```
6
Lattice="3.9711 0.0000 0.0000 0.0000 3.9754 0.0000 0.0000 0.0000 7.0619" Properties=species:S:1:pos:R:3 pbc="T T T"
Y 0.0000 0.0000 0.0000
Y 1.9855 1.9877 2.3471
Cu 0.0000 1.9877 4.5634
Cu 1.9855 1.9877 6.1392
Si 0.0000 0.0000 3.0162
Si 1.9855 0.0000 4.7186
```

Uncorrected formation energy: -0.413 eV/atom
Crystal system: orthorhombic
Space-group type: No. 25

=====

Q: Number 1 is which compound?
A: YCuSi

=====

Q: Which of these has the highest uncorrected formation energy?
A: Y2CuSi

=====

Q: What is the formula in the first record?
A: YCuSi

=====

Please write out number 3 again, unchanged.
VASP calculation (GGA-PBE) on an optimized crystal structure of YCuSi.

```
6
Lattice="3.9711 0.0000 0.0000 0.0000 3.9754 0.0000 0.0000 0.0000 7.0619" Properties=species:S:1:pos:R:3 pbc="T T T"
Y 0.0000 0.0000 0.0000
Y 1.9855 1.9877 2.3471
Cu 0.0000 1.9877 4.5634
Cu 1.9855 1.9877 6.1392
Si 0.0000 0.0000 3.0162
Si 1.9855 0.0000 4.7186
```

Uncorrected formation energy: -0.413 eV/atom
Crystal system: orthorhombic
Space-group type: No. 25